DFT (PBE-GGA) results for a relaxed Re2MoRu crystal.

Cell lengths 2.763, 5.280, 5.280 Å; angles 54.10, 74.88, 74.88 degrees
Positions (direct):
Re 0.992 0.090 0.924
Re 0.508 0.576 0.410
Mo 0.750 0.666 0.834
Ru 0.250 0.169 0.331

Calculated values
energy of formation	14	meV/atom
space-group type	No. 44


DFT (PBE-GGA) results for a relaxed ReMoRu2 crystal.

Cell lengths 2.757, 3.846, 5.563 Å; angles 89.99, 90.00, 90.00 degrees
Positions (direct):
Re 0.561 0.471 0.865
Mo 0.060 0.971 0.589
Ru 0.061 0.971 0.088
Ru 0.561 0.471 0.347

Calculated values
energy of formation	87	meV/atom
space-group type	No. 25


| no. | volume (Å³/f.u.) |
| --- | --- |
| 1 | 59.7 |
| 2 | 59.0 |